*A*
This record from Alexandria via LeMat-Bulk describes a geometry-optimized NiMo3Ir structure. The functional is GGA-PBE.

Properties
Symmetry   Pm-3m, No. 221

```
NiMo3Ir
1.0
-4.326 -0.609 0.550
0.762 -1.884 3.906
-0.305 3.933 1.956
Ni Mo Ir
1 3 1
direct
0.000 0.000 0.000
0.000 0.500 0.000
0.000 0.000 0.500
0.500 0.000 0.000
0.500 0.500 0.500
```

=====

*B*
This record from Alexandria via LeMat-Bulk describes a geometry-optimized NiMo3Ir structure. The functional is GGA-PBE.

Properties
Symmetry   Pm-3m, No. 221

```
NiMo3Ir
1.0
-4.101 -1.125 -2.020
1.928 -3.936 -1.722
-1.277 -2.327 3.889
Ni Mo Ir
1 3 1
direct
0.500 0.500 0.500
0.000 0.500 0.000
0.000 0.000 0.500
0.500 0.000 0.000
0.000 0.000 0.000
```

=====

Tell me which of them is the least stable. Sure, it is *B*.

=====

*A*
This record from Alexandria via LeMat-Bulk describes a geometry-optimized Ni2MoIr2 structure. The functional is GGA-PBE.

Properties
Symmetry   P4/mbm, No. 127

```
Ni2MoIr2
1.0
7.043 0.000 0.000
0.000 7.043 0.000
0.000 0.000 2.780
Ni Mo Ir
4 2 4
direct
0.169 0.669 0.500
0.669 0.831 0.500
0.831 0.331 0.500
0.331 0.169 0.500
0.000 0.000 0.000
0.500 0.500 0.000
0.370 0.870 0.000
0.870 0.630 0.000
0.630 0.130 0.000
0.130 0.370 0.000
```

=====

*B*
This record from Alexandria via LeMat-Bulk describes a geometry-optimized Ni2MoIr2 structure. The functional is GGA-PBE.

Properties
Symmetry   P4/mbm, No. 127

```
Ni2MoIr2
1.0
6.987 0.000 0.000
0.000 6.987 0.000
0.000 0.000 2.762
Ni Mo Ir
4 2 4
direct
0.376 0.876 0.000
0.876 0.624 0.000
0.624 0.124 0.000
0.124 0.376 0.000
0.000 0.000 0.000
0.500 0.500 0.000
0.173 0.673 0.500
0.673 0.827 0.500
0.827 0.327 0.500
0.327 0.173 0.500
```

=====

*C*
This record from Alexandria via LeMat-Bulk describes a geometry-optimized Ni2MoIr2 structure. The functional is GGA-PBE.

Properties
Symmetry   C2/m, No. 12

```
Ni2MoIr2
1.0
-2.694 -0.067 0.156
-1.422 -3.510 -2.721
-0.989 -2.645 5.138
Ni Mo Ir
2 1 2
direct
0.803 0.801 0.592
0.197 0.199 0.408
0.000 0.000 0.000
0.597 0.599 0.207
0.403 0.401 0.793
```

=====

Tell me which of them is the least stable. Sure, it is *A*.

=====

*A*
This record from Alexandria via LeMat-Bulk describes a geometry-optimized VNiMoIr structure. The functional is GGA-PBE.

Properties
Symmetry   Pmmm, No. 47

```
VNiMoIr
1.0
3.690 0.000 0.000
0.000 3.798 0.000
0.000 0.000 3.869
V Ni Mo Ir
1 1 1 1
direct
0.500 0.500 0.000
0.500 0.000 0.500
0.000 0.000 0.000
0.000 0.500 0.500
```

=====

*B*
This record from Alexandria via LeMat-Bulk describes a geometry-optimized VNiMoIr structure. The functional is GGA-PBE.

Properties
Symmetry   F-43m, No. 216

```
VNiMoIr
1.0
4.256 0.000 0.000
2.128 3.685 0.000
2.128 1.228 3.475
Ni Mo Ir V
1 1 1 1
direct
0.250 0.250 0.250
0.000 0.000 0.000
0.500 0.500 0.500
0.750 0.750 0.750
```

=====

Tell me which of them is the least stable. Sure, it is *B*.